Record 1
LaTlCuI2 | GGA-PBE | optimized geometry

Results
For the uncorrected formation energy, the calculation gives -1.51 eV/f.u. The density of states at the Fermi level comes out at 0.67 states/eV per atom. The density is 5.0 Mg/m³. The calculation puts the energy at -3.200 eV/atom.

Unit cell a=6.3012 b=6.3012 c=5.5048 alpha=90.00 beta=90.00 gamma=90.00
Closest atoms and distances in Å follow each position.
Positions (direct):
Cu (0.0000, 0.0000, 0.5000)  2 La 2.75
I (0.5000, 0.0000, 0.0000)  2 La 3.15
I (0.0000, 0.5000, 0.0000)  2 La 3.15
La (0.0000, 0.0000, 0.0000)  2 Cu 2.75
Tl (0.5000, 0.5000, 0.5000)  8 I 4.18, 4 Cu 4.46


Record 2
La2CuWI | GGA-PBE | optimized geometry

Results
For the uncorrected formation energy, the calculation gives 5.68 eV/f.u. The density of states at the Fermi level comes out at 0.72 states/eV per atom. The density is 6.3 Mg/m³. The calculation puts the energy at -4.555 eV/atom.

Unit cell a=5.9494 b=4.8670 c=5.9494 alpha=90.00 beta=90.00 gamma=90.00
Closest atoms and distances in Å follow each position.
Positions (direct):
W (0.0000, 0.5000, 0.0000)  2 I 2.43
La (0.0000, 0.0000, 0.5000)  2 I 2.97
I (0.0000, 0.0000, 0.0000)  2 W 2.43
Cu (0.5000, 0.5000, 0.5000)  8 La 3.84, 4 W 4.21
La (0.5000, 0.0000, 0.0000)  2 I 2.97


Record 3
LaCuWI2 | GGA-PBE | optimized geometry

Results
For the uncorrected formation energy, the calculation gives 5.65 eV/f.u. The density of states at the Fermi level comes out at 0.07 states/eV per atom. The density is 4.9 Mg/m³. The calculation puts the energy at -3.886 eV/atom.

Unit cell a=6.2196 b=5.6163 c=6.2196 alpha=90.00 beta=90.00 gamma=90.00
Closest atoms and distances in Å follow each position.
Positions (direct):
La (0.0000, 0.0000, 0.0000)  2 Cu 2.81, 4 I 3.11
Cu (0.0000, 0.5000, 0.0000)  2 La 2.81
W (0.5000, 0.5000, 0.5000)  8 I 4.19, 4 Cu 4.40
I (0.0000, 0.0000, 0.5000)  2 La 3.11
I (0.5000, 0.0000, 0.0000)  2 La 3.11